# 1
PClF2 | Alexandria | GGA-PBE | relaxed; formation energy without anion corrections = -1.4242 eV/atom; offset from the most stable computed form = 360 meV/atom; space-group type = Cm; total DFT energy (no corrections) = -4.174 eV/atom
1.0
9.9718 0.0000 0.0000
0.0000 2.6025 0.0000
-2.2759 0.0000 6.1744
P Cl F
2 2 4
Cartesian
0.0000 0.0000 0.0000
4.9859 1.3013 0.0000
2.2217 0.0000 1.8184
7.2075 1.3013 1.8184
-1.1361 0.0000 5.0711
1.4707 1.3013 5.1732
3.8498 1.3013 5.0711
6.4566 0.0000 5.1732


# 2
PCl2F | Alexandria | GGA-PBE | relaxed; formation energy without anion corrections = 0.0124 eV/atom; offset from the most stable computed form = 15 meV/atom; space-group type = R-3m; total DFT energy (no corrections) = -2.731 eV/atom
1.0
3.4697 0.0000 0.0000
-1.7349 3.0049 0.0000
0.0000 0.0000 22.7743
P Cl F
3 6 3
Cartesian
0.0000 0.0000 0.0000
0.0000 2.0032 15.1829
1.7349 1.0016 7.5914
0.0000 0.0000 9.1621
0.0000 0.0000 13.6122
0.0000 2.0032 1.5707
0.0000 2.0032 6.0207
1.7349 1.0016 16.7535
1.7349 1.0016 21.2036
0.0000 0.0000 11.3871
0.0000 2.0032 3.7957
1.7349 1.0016 18.9785


# 3
P2ClF6 | Alexandria | GGA-PBE | relaxed; formation energy without anion corrections = -2.0537 eV/atom; space-group type = P-1; total DFT energy (no corrections) = -4.709 eV/atom
1.0
6.1630 0.0000 0.0000
0.2026 7.4526 0.0000
3.0794 3.2755 8.7019
P Cl F
4 2 12
Cartesian
1.4933 4.0180 2.6845
5.2044 9.9416 7.2537
4.2406 0.7865 1.4482
7.9517 6.7102 6.0173
2.5495 7.0571 1.6384
6.8955 3.6710 7.0635
2.3647 8.0321 5.3358
4.1550 8.8280 7.7637
2.6713 4.2885 3.7358
4.0459 3.7326 7.3634
2.3925 3.2993 1.5620
4.8947 2.1552 5.7212
4.5503 8.5729 2.9807
7.0526 7.4289 7.1398
5.3991 6.9956 1.3384
6.7737 6.4396 4.9661
5.2900 1.9001 0.9382
7.0803 2.6961 3.3661


# 4
PClF2 | Alexandria | GGA-PBE | relaxed; formation energy without anion corrections = -1.7844 eV/atom; offset from the most stable computed form = 0 meV/atom; space-group type = P1; total DFT energy (no corrections) = -4.534 eV/atom
1.0
4.8482 0.0000 0.0000
-0.6423 6.4058 0.0000
-0.7646 -1.5600 6.7919
P Cl F
2 2 4
Cartesian
0.0000 0.0000 0.0000
1.6748 1.3969 4.1597
0.3796 5.2157 1.3445
2.7512 2.9563 3.3367
0.0911 1.3945 0.7893
0.4398 -1.2788 5.7613
1.6979 1.8691 5.6942
2.8673 0.3211 4.2709


# 5
P3ClF12 | Alexandria | GGA-PBE | relaxed; formation energy without anion corrections = -2.1356 eV/atom; space-group type = R3c; total DFT energy (no corrections) = -4.669 eV/atom
1.0
4.3342 2.5023 8.8596
-4.3342 2.5023 8.8596
0.0000 -5.0047 8.8596
P Cl F
6 2 24
Cartesian
-1.1988 -2.7560 8.8596
-2.5469 -0.0861 13.2894
-1.7873 2.4162 8.8596
1.3480 -2.1626 13.2894
2.9862 0.3398 8.8596
1.1988 2.2487 13.2894
0.0000 0.0000 13.0783
0.0000 0.0000 26.3676
-3.9962 0.3749 12.8809
-2.4673 -1.1579 12.0686
-0.2309 -2.2890 7.6388
-2.7776 -1.1491 14.4205
-1.8669 1.3444 7.6388
-0.3937 -2.0246 9.9907
-1.5566 1.3532 9.9907
-2.3498 1.1848 14.2840
0.1488 -2.6274 14.2840
-1.9844 -1.3175 18.7138
1.6734 -3.6482 12.8809
-0.3380 -2.1275 17.3107
-1.6734 1.3565 17.3107
2.0977 0.9445 7.6388
2.2364 -1.5578 12.0686
1.9502 0.6714 9.9907
0.2309 2.7157 12.0686
2.3840 -1.8309 14.4205
0.3937 2.9800 14.4205
-0.1488 2.3773 18.7138
2.1332 -1.0598 18.7138
2.2010 1.4426 14.2840
2.0114 0.7710 17.3107
2.3227 3.2733 12.8809


# 6
PClF2 | Alexandria | GGA-PBE | relaxed; formation energy without anion corrections = -1.7814 eV/atom; offset from the most stable computed form = 3 meV/atom; space-group type = P1; total DFT energy (no corrections) = -4.531 eV/atom
1.0
4.4342 0.0000 0.0000
-2.1681 4.9180 0.0000
-2.1456 -1.6252 4.8371
P Cl F
1 1 2
Cartesian
0.0000 0.0000 0.0000
-0.8038 1.0532 1.5795
1.4071 3.5676 0.1466
1.4299 -0.9743 3.6456


# 7
PCl2F | Alexandria | GGA-PBE | relaxed; formation energy without anion corrections = 0.0360 eV/atom; offset from the most stable computed form = 39 meV/atom; space-group type = Fm-3m; total DFT energy (no corrections) = -2.708 eV/atom
1.0
6.1925 0.0000 0.0000
0.0000 6.1925 0.0000
0.0000 0.0000 6.1925
P Cl F
4 8 4
Cartesian
0.0000 0.0000 0.0000
0.0000 3.0963 3.0963
3.0963 0.0000 3.0963
3.0963 3.0963 0.0000
1.5481 1.5481 1.5481
1.5481 1.5481 4.6444
1.5481 4.6444 1.5481
1.5481 4.6444 4.6444
4.6444 1.5481 1.5481
4.6444 1.5481 4.6444
4.6444 4.6444 1.5481
4.6444 4.6444 4.6444
0.0000 0.0000 3.0963
0.0000 3.0963 0.0000
3.0963 0.0000 0.0000
3.0963 3.0963 3.0963


# 8
PClF2 | Alexandria | GGA-PBE | relaxed; formation energy without anion corrections = -0.9472 eV/atom; offset from the most stable computed form = 837 meV/atom; space-group type = R-3m; total DFT energy (no corrections) = -3.697 eV/atom
1.0
2.7194 0.0000 0.0000
-1.3597 2.3551 0.0000
0.0000 0.0000 29.9053
P Cl F
3 3 6
Cartesian
0.0000 0.0000 0.0000
0.0000 1.5701 19.9369
1.3597 0.7850 9.9684
0.0000 0.0000 14.9527
0.0000 1.5701 4.9842
1.3597 0.7850 24.9211
0.0000 0.0000 1.6359
0.0000 0.0000 28.2694
0.0000 1.5701 18.3010
0.0000 1.5701 21.5728
1.3597 0.7850 8.3325
1.3597 0.7850 11.6044


# 9
PCl2F | Alexandria | GGA-PBE | relaxed; formation energy without anion corrections = -0.0029 eV/atom; offset from the most stable computed form = 0 meV/atom; space-group type = I-42d; total DFT energy (no corrections) = -2.747 eV/atom
1.0
5.4858 0.0000 0.0000
0.0000 5.4858 0.0000
0.0000 0.0000 12.6799
P Cl F
4 8 4
Cartesian
0.0000 0.0000 0.0000
0.0000 2.7429 3.1700
2.7429 0.0000 9.5099
2.7429 2.7429 6.3399
0.9483 1.3715 1.5850
1.3715 3.6912 4.7550
1.3715 4.5375 11.0949
1.7946 1.3715 7.9249
3.6912 4.1144 7.9249
4.1144 0.9483 11.0949
4.1144 1.7946 4.7550
4.5375 4.1144 1.5850
0.0000 0.0000 6.3399
0.0000 2.7429 9.5099
2.7429 0.0000 3.1700
2.7429 2.7429 0.0000


# 10
P3ClF | Alexandria | GGA-PBE | relaxed; formation energy without anion corrections = 1.0977 eV/atom; offset from the most stable computed form = 0 meV/atom; space-group type = Pm-3m; total DFT energy (no corrections) = -2.892 eV/atom
1.0
4.4875 0.0000 0.0000
0.0000 4.4875 0.0000
0.0000 0.0000 4.4875
P Cl F
3 1 1
Cartesian
0.0000 0.0000 2.2438
0.0000 2.2438 0.0000
2.2438 0.0000 0.0000
2.2438 2.2438 2.2438
0.0000 0.0000 0.0000


# 11
PClF2 | Alexandria | GGA-PBE | relaxed; formation energy without anion corrections = -0.4368 eV/atom; offset from the most stable computed form = 1348 meV/atom; space-group type = R-3m; total DFT energy (no corrections) = -3.187 eV/atom
1.0
3.4888 0.0000 0.0000
-1.7444 3.0214 0.0000
0.0000 0.0000 23.3992
P Cl F
3 3 6
Cartesian
0.0000 0.0000 0.0000
0.0000 2.0143 15.5995
1.7444 1.0071 7.7997
0.0000 0.0000 11.6996
0.0000 2.0143 3.8999
1.7444 1.0071 19.4993
0.0000 0.0000 8.5199
0.0000 0.0000 14.8793
0.0000 2.0143 0.7202
0.0000 2.0143 7.0796
1.7444 1.0071 16.3196
1.7444 1.0071 22.6790


# 12
P3ClF | Alexandria | GGA-PBE | relaxed; formation energy without anion corrections = 1.3476 eV/atom; offset from the most stable computed form = 250 meV/atom; space-group type = Pm-3m; total DFT energy (no corrections) = -2.642 eV/atom
1.0
4.5955 0.0000 0.0000
0.0000 4.5955 0.0000
0.0000 0.0000 4.5955
P Cl F
3 1 1
Cartesian
0.0000 0.0000 2.2978
0.0000 2.2978 0.0000
2.2978 0.0000 0.0000
0.0000 0.0000 0.0000
2.2978 2.2978 2.2978


# 13
PClF2 | Alexandria | GGA-PBE | relaxed; formation energy without anion corrections = -1.3975 eV/atom; offset from the most stable computed form = 387 meV/atom; space-group type = P1; total DFT energy (no corrections) = -4.147 eV/atom
1.0
2.6087 0.0000 0.0000
-0.0724 4.8064 0.0000
-1.2424 -1.7935 6.6511
P Cl F
1 1 2
Cartesian
0.0000 0.0000 0.0000
1.2930 2.6714 4.0650
-0.0723 3.2119 0.1439
-0.0009 0.3294 1.5724


# 14
PPbCl2F | Alexandria | GGA-PBE | relaxed; formation energy without anion corrections = 0.1175 eV/atom; offset from the most stable computed form = 413 meV/atom; space-group type = P4/mmm; total DFT energy (no corrections) = -2.819 eV/atom
1.0
5.3531 0.0000 0.0000
0.0000 5.3531 0.0000
0.0000 0.0000 5.5432
P Pb Cl F
1 1 2 1
Cartesian
0.0000 0.0000 0.0000
0.0000 0.0000 2.7716
0.0000 2.6765 2.7716
2.6765 0.0000 2.7716
2.6765 2.6765 0.0000


# 15
P2PbClF | Alexandria | GGA-PBE | relaxed; formation energy without anion corrections = 0.7318 eV/atom; offset from the most stable computed form = 266 meV/atom; space-group type = P4/mmm; total DFT energy (no corrections) = -2.917 eV/atom
1.0
5.4713 0.0000 0.0000
0.0000 5.4713 0.0000
0.0000 0.0000 5.3239
P Pb Cl F
2 1 1 1
Cartesian
0.0000 2.7356 0.0000
2.7356 0.0000 0.0000
0.0000 0.0000 0.0000
0.0000 0.0000 2.6619
2.7356 2.7356 2.6619


# 16
P2PbClF | Alexandria | GGA-PBE | relaxed; formation energy without anion corrections = 0.4657 eV/atom; offset from the most stable computed form = 0 meV/atom; space-group type = P4/mmm; total DFT energy (no corrections) = -3.183 eV/atom
1.0
4.4096 0.0000 0.0000
0.0000 4.4096 0.0000
0.0000 0.0000 9.3727
P Pb Cl F
2 1 1 1
Cartesian
0.0000 2.2048 0.0000
2.2048 0.0000 0.0000
0.0000 0.0000 4.6864
2.2048 2.2048 4.6864
2.2048 2.2048 0.0000


# 17
PPbCl2F | Alexandria | GGA-PBE | relaxed; formation energy without anion corrections = -0.2960 eV/atom; offset from the most stable computed form = 0 meV/atom; space-group type = P4/mmm; total DFT energy (no corrections) = -3.233 eV/atom
1.0
5.9118 0.0000 0.0000
0.0000 5.9118 0.0000
0.0000 0.0000 3.8317
P Pb Cl F
1 1 2 1
Cartesian
0.0000 0.0000 0.0000
2.9559 2.9559 0.0000
0.0000 2.9559 1.9159
2.9559 0.0000 1.9159
0.0000 0.0000 1.9159


# 18
PPdClF6 | Alexandria | GGA-PBE | relaxed; formation energy without anion corrections = -1.8746 eV/atom; space-group type = P1; total DFT energy (no corrections) = -4.505 eV/atom
1.0
4.5664 0.0000 0.0000
0.8786 5.5198 0.0000
2.0723 0.9557 5.4612
P Pd Cl F
1 1 1 6
Cartesian
0.0000 0.0000 0.0000
1.4686 3.1826 2.6677
3.7504 3.3528 3.0171
1.6388 4.1736 0.7749
1.1529 0.9797 0.5590
3.8266 6.1729 4.1529
3.7027 0.3019 1.3176
6.3721 5.4833 4.9214
5.8973 2.2797 4.6723


# 19
PPdCl2F | Alexandria | GGA-PBE | relaxed; formation energy without anion corrections = 0.1844 eV/atom; offset from the most stable computed form = 0 meV/atom; space-group type = P4/mmm; total DFT energy (no corrections) = -3.049 eV/atom
1.0
4.8577 0.0000 0.0000
0.0000 4.8577 0.0000
0.0000 0.0000 4.5841
P Pd Cl F
1 1 2 1
Cartesian
0.0000 0.0000 0.0000
0.0000 0.0000 2.2920
0.0000 2.4288 2.2920
2.4288 0.0000 2.2920
2.4288 2.4288 0.0000


# 20
PPdCl2F | Alexandria | GGA-PBE | relaxed; formation energy without anion corrections = 0.3061 eV/atom; offset from the most stable computed form = 122 meV/atom; space-group type = P4/mmm; total DFT energy (no corrections) = -2.927 eV/atom
1.0
5.2558 0.0000 0.0000
0.0000 5.2558 0.0000
0.0000 0.0000 3.5678
P Pd Cl F
1 1 2 1
Cartesian
0.0000 0.0000 0.0000
2.6279 2.6279 0.0000
0.0000 2.6279 1.7839
2.6279 0.0000 1.7839
0.0000 0.0000 1.7839